Compound: SnRu3C
Source: Alexandria
Functional: PBE
Structure: relaxed

```
5
Lattice="4.1120 0.0000 0.0000 0.0000 4.1120 0.0000 0.0000 0.0000 4.1120" Properties=species:S:1:pos:R:3 pbc="T T T"
Sn 0.0000 0.0000 0.0000
Ru 0.0000 2.0560 2.0560
Ru 2.0560 0.0000 2.0560
Ru 2.0560 2.0560 0.0000
C 2.0560 2.0560 2.0560
```

Summary:
Relative energy among the computed polymorphs: 0.00 eV/f.u.
Calculated formation energy: 49 meV/atom
Density: 10363 kg/m3